# 1
# PBE SrAc2La, relaxed
# offset from the most stable computed form: 114 meV/atom
# E_tot: -3.554 eV/atom
# formation energy: 153 meV/atom
# Fermi-level density of states: 2.19 states/eV per atom
data_SrAc2La
_cell_length_a 8.950
_cell_length_b 8.950
_cell_length_c 8.950
_cell_angle_alpha 90.00
_cell_angle_beta 90.00
_cell_angle_gamma 90.00
_symmetry_space_group_name_H-M 'F m -3 m'
_symmetry_Int_Tables_number 225
_symmetry_space_group_name_Hall '-F 4 2 3'
loop_
_atom_site_label
_atom_site_fract_x
_atom_site_fract_y
_atom_site_fract_z
_atom_site_occupancy
Sr1 0.000 0.000 0.000 1
Ac1 0.250 0.250 0.250 1
La1 0.000 0.000 0.500 1

=====

# 2
# PBE Ho6Si2BiSe3, relaxed
# E_tot: -5.676 eV/atom
# Fermi-level density of states: 0.19 states/eV per atom
# formation energy (no corrections): -1289 meV per atom
data_Ho6Si2BiSe3
_cell_length_a 18.101
_cell_length_b 4.153
_cell_length_c 8.359
_cell_angle_alpha 90.00
_cell_angle_beta 102.77
_cell_angle_gamma 90.00
_symmetry_space_group_name_H-M 'C 1 2/m 1'
_symmetry_Int_Tables_number 12
_symmetry_space_group_name_Hall '-C 2y'
loop_
_atom_site_label
_atom_site_fract_x
_atom_site_fract_y
_atom_site_fract_z
_atom_site_occupancy
Ho1 0.008 0.000 0.266 1
Ho2 0.171 0.500 0.576 1
Ho3 0.173 0.500 0.105 1
Si1 0.168 0.000 0.337 1
Bi1 0.000 0.500 0.000 1
Se1 0.000 0.500 0.500 1
Se2 0.164 0.000 0.834 1

=====

# 3
# PBE AcPm8Nd4, relaxed
# E_tot: -4.222 eV/atom
# formation energy: 485 meV/atom
# Fermi-level density of states: 1.55 states/eV per atom
data_AcPm8Nd4
_cell_length_a 11.3161
_cell_length_b 11.3161
_cell_length_c 13.8807
_cell_angle_alpha 90.00
_cell_angle_beta 90.00
_cell_angle_gamma 120.00
_symmetry_space_group_name_H-M 'R -3 m'
_symmetry_Int_Tables_number 166
_symmetry_space_group_name_Hall '-R 3 2"'
loop_
_atom_site_label
_atom_site_fract_x
_atom_site_fract_y
_atom_site_fract_z
_atom_site_occupancy
Ac1 0.0000 0.0000 0.0000 1
Pm1 0.0000 0.0000 0.2633 1
Pm2 0.0180 0.5090 0.2459 1
Nd1 0.0000 0.0000 0.5000 1
Nd2 0.0000 0.5000 0.5000 1

=====

# 4
# PBE HoVRu, relaxed
# offset from the most stable computed form: 0 meV/atom
# E_tot: -7.737 eV/atom
# formation energy: -79 meV/atom
# Fermi-level density of states: 1.21 states/eV per atom
data_HoVRu
_cell_length_a 3.154
_cell_length_b 3.154
_cell_length_c 10.820
_cell_angle_alpha 90.00
_cell_angle_beta 90.00
_cell_angle_gamma 90.00
_symmetry_space_group_name_H-M 'I 4 m m'
_symmetry_Int_Tables_number 107
_symmetry_space_group_name_Hall 'I 4 -2'
loop_
_atom_site_label
_atom_site_fract_x
_atom_site_fract_y
_atom_site_fract_z
_atom_site_occupancy
Ho1 0.000 0.000 0.000 1
V1 0.000 0.000 0.696 1
Ru1 0.000 0.000 0.309 1

=====

# 5
# PBE Tb2Sm5ErSc, relaxed
# E_tot: -4.734 eV/atom
# formation energy: 128 meV/atom
# Fermi-level density of states: 1.45 states/eV per atom
data_Tb2Sm5ErSc
_cell_length_a 5.332
_cell_length_b 21.816
_cell_length_c 10.133
_cell_angle_alpha 90.00
_cell_angle_beta 90.00
_cell_angle_gamma 90.00
_symmetry_space_group_name_H-M 'C m c m'
_symmetry_Int_Tables_number 63
_symmetry_space_group_name_Hall '-C 2c 2'
loop_
_atom_site_label
_atom_site_fract_x
_atom_site_fract_y
_atom_site_fract_z
_atom_site_occupancy
Tb1 0.000 0.116 0.000 1
Sm1 0.000 0.001 0.250 1
Sm2 0.000 0.279 0.062 1
Sm3 0.000 0.373 0.750 1
Sm4 0.000 0.500 0.000 1
Er1 0.000 0.399 0.250 1
Sc1 0.000 0.214 0.750 1

=====

# 6
# PBE ZnSiNi4, relaxed
# E_tot: -5.275 eV/atom
# Fermi-level density of states: 0.62 states/eV per atom
# formation energy (no corrections): -305 meV per atom
data_ZnSiNi4
_cell_length_a 8.711
_cell_length_b 2.628
_cell_length_c 6.434
_cell_angle_alpha 90.00
_cell_angle_beta 112.31
_cell_angle_gamma 90.00
_symmetry_space_group_name_H-M 'C 1 2/m 1'
_symmetry_Int_Tables_number 12
_symmetry_space_group_name_Hall '-C 2y'
loop_
_atom_site_label
_atom_site_fract_x
_atom_site_fract_y
_atom_site_fract_z
_atom_site_occupancy
Zn1 0.000 0.000 0.000 1
Si1 0.000 0.000 0.500 1
Ni1 0.150 0.500 0.347 1
Ni2 0.171 0.500 0.814 1

=====

# 7
# PBE Na2SnBiBr8, relaxed
# E_tot: -2.931 eV/atom
# Fermi-level density of states: 0.36 states/eV per atom
# formation energy (no corrections): -939 meV per atom
data_Na2SnBiBr8
_cell_length_a 6.859
_cell_length_b 8.676
_cell_length_c 7.121
_cell_angle_alpha 90.00
_cell_angle_beta 96.25
_cell_angle_gamma 90.00
_symmetry_space_group_name_H-M 'P 1 2/m 1'
_symmetry_Int_Tables_number 10
_symmetry_space_group_name_Hall '-P 2y'
loop_
_atom_site_label
_atom_site_fract_x
_atom_site_fract_y
_atom_site_fract_z
_atom_site_occupancy
Na1 0.000 0.247 0.000 1
Sn1 0.500 0.500 0.500 1
Bi1 0.500 0.000 0.500 1
Br1 0.233 0.500 0.179 1
Br2 0.245 0.000 0.158 1
Br3 0.280 0.254 0.650 1

=====

# 8
# PBE Rb3Ac2BiS6, relaxed
# E_tot: -4.824 eV/atom
# Fermi-level density of states: 0.00 states/eV per atom
# formation energy (no corrections): -1510 meV per atom
data_Rb3Ac2BiS6
_cell_length_a 7.566
_cell_length_b 13.103
_cell_length_c 8.148
_cell_angle_alpha 90.00
_cell_angle_beta 108.03
_cell_angle_gamma 90.00
_symmetry_space_group_name_H-M 'C 1 2/m 1'
_symmetry_Int_Tables_number 12
_symmetry_space_group_name_Hall '-C 2y'
loop_
_atom_site_label
_atom_site_fract_x
_atom_site_fract_y
_atom_site_fract_z
_atom_site_occupancy
Rb1 0.000 0.000 0.000 1
Rb2 0.000 0.335 0.000 1
Ac1 0.000 0.167 0.500 1
Bi1 0.000 0.500 0.500 1
S1 0.229 0.339 0.702 1
S2 0.245 0.000 0.702 1

=====

# 9
# PBE DyAlZn2Ag4, relaxed
# E_tot: -2.915 eV/atom
# formation energy: -128 meV/atom
# Fermi-level density of states: 0.45 states/eV per atom
data_DyAlZn2Ag4
_cell_length_a 4.5366
_cell_length_b 4.5366
_cell_length_c 25.1086
_cell_angle_alpha 90.00
_cell_angle_beta 90.00
_cell_angle_gamma 120.00
_symmetry_space_group_name_H-M 'R -3 m'
_symmetry_Int_Tables_number 166
_symmetry_space_group_name_Hall '-R 3 2"'
loop_
_atom_site_label
_atom_site_fract_x
_atom_site_fract_y
_atom_site_fract_z
_atom_site_occupancy
Dy1 0.0000 0.0000 0.0000 1
Al1 0.0000 0.0000 0.5000 1
Zn1 0.0000 0.0000 0.2535 1
Ag1 0.0000 0.0000 0.1309 1
Ag2 0.0000 0.0000 0.3958 1

=====

# 10
# PBE NbFeS2N, relaxed
# offset from the most stable computed form: 91 meV/atom
# E_tot: -6.707 eV/atom
# Fermi-level density of states: 1.09 states/eV per atom
# formation energy (no corrections): 316 meV per atom
data_NbFeS2N
_cell_length_a 4.926
_cell_length_b 4.926
_cell_length_c 3.864
_cell_angle_alpha 90.00
_cell_angle_beta 90.00
_cell_angle_gamma 90.00
_symmetry_space_group_name_H-M 'P 4/m m m'
_symmetry_Int_Tables_number 123
_symmetry_space_group_name_Hall '-P 4 2'
loop_
_atom_site_label
_atom_site_fract_x
_atom_site_fract_y
_atom_site_fract_z
_atom_site_occupancy
Nb1 0.000 0.000 0.000 1
Fe1 0.500 0.500 0.500 1
S1 0.000 0.500 0.000 1
N1 0.000 0.000 0.500 1

=====

# 11
# PBE AcMg8Ga4, relaxed
# E_tot: -2.430 eV/atom
# formation energy: -201 meV/atom
# Fermi-level density of states: 0.34 states/eV per atom
data_AcMg8Ga4
_cell_length_a 9.952
_cell_length_b 9.952
_cell_length_c 5.718
_cell_angle_alpha 90.00
_cell_angle_beta 90.00
_cell_angle_gamma 90.00
_symmetry_space_group_name_H-M 'I 4/m m m'
_symmetry_Int_Tables_number 139
_symmetry_space_group_name_Hall '-I 4 2'
loop_
_atom_site_label
_atom_site_fract_x
_atom_site_fract_y
_atom_site_fract_z
_atom_site_occupancy
Ac1 0.000 0.000 0.000 1
Mg1 0.000 0.217 0.500 1
Mg2 0.000 0.353 0.000 1
Ga1 0.250 0.250 0.250 1

=====

# 12
# PBE Li4Ga3Pd2, relaxed
# offset from the most stable computed form: 0 meV/atom
# E_tot: -3.525 eV/atom
# formation energy: -511 meV/atom
# Fermi-level density of states: 0.28 states/eV per atom
data_Li4Ga3Pd2
_cell_length_a 9.323
_cell_length_b 4.215
_cell_length_c 8.028
_cell_angle_alpha 90.00
_cell_angle_beta 124.22
_cell_angle_gamma 90.00
_symmetry_space_group_name_H-M 'C 1 2/m 1'
_symmetry_Int_Tables_number 12
_symmetry_space_group_name_Hall '-C 2y'
loop_
_atom_site_label
_atom_site_fract_x
_atom_site_fract_y
_atom_site_fract_z
_atom_site_occupancy
Li1 0.001 0.000 0.340 1
Li2 0.163 0.500 0.883 1
Ga1 0.000 0.000 0.000 1
Ga2 0.171 0.500 0.558 1
Pd1 0.162 0.500 0.222 1

=====

# 13
# PBE Pu2MnH12Rh3, relaxed
# E_tot: -5.745 eV/atom
# Fermi-level density of states: 1.12 states/eV per atom
data_Pu2MnH12Rh3
_cell_length_a 6.1875
_cell_length_b 6.1875
_cell_length_c 14.2340
_cell_angle_alpha 90.00
_cell_angle_beta 90.00
_cell_angle_gamma 120.00
_symmetry_space_group_name_H-M 'R -3 m'
_symmetry_Int_Tables_number 166
_symmetry_space_group_name_Hall '-R 3 2"'
loop_
_atom_site_label
_atom_site_fract_x
_atom_site_fract_y
_atom_site_fract_z
_atom_site_occupancy
Pu1 0.0000 0.0000 0.1183 1
Mn1 0.0000 0.0000 0.5000 1
H1 0.0089 0.5044 0.1193 1
H2 0.0184 0.5092 0.3398 1
Rh1 0.0000 0.5000 0.0000 1

=====

# 14
# PBE NdSmHgRu, relaxed
# offset from the most stable computed form: 88 meV/atom
# E_tot: -5.027 eV/atom
# formation energy: -261 meV/atom
# Fermi-level density of states: 0.74 states/eV per atom
data_NdSmHgRu
_cell_length_a 7.302
_cell_length_b 7.302
_cell_length_c 7.302
_cell_angle_alpha 90.00
_cell_angle_beta 90.00
_cell_angle_gamma 90.00
_symmetry_space_group_name_H-M 'F -4 3 m'
_symmetry_Int_Tables_number 216
_symmetry_space_group_name_Hall 'F -4 2 3'
loop_
_atom_site_label
_atom_site_fract_x
_atom_site_fract_y
_atom_site_fract_z
_atom_site_occupancy
Nd1 0.000 0.000 0.000 1
Sm1 0.000 0.000 0.500 1
Hg1 0.250 0.250 0.250 1
Ru1 0.250 0.250 0.750 1

=====

# 15
# PBE LiY2Hf, relaxed
# offset from the most stable computed form: 591 meV/atom
# E_tot: -5.504 eV/atom
# formation energy: 695 meV/atom
# Fermi-level density of states: 1.99 states/eV per atom
data_LiY2Hf
_cell_length_a 4.466
_cell_length_b 4.466
_cell_length_c 21.443
_cell_angle_alpha 90.00
_cell_angle_beta 90.00
_cell_angle_gamma 90.00
_symmetry_space_group_name_H-M 'I -4 2 d'
_symmetry_Int_Tables_number 122
_symmetry_space_group_name_Hall 'I -4 2bw'
loop_
_atom_site_label
_atom_site_fract_x
_atom_site_fract_y
_atom_site_fract_z
_atom_site_occupancy
Li1 0.000 0.000 0.000 1
Y1 0.245 0.250 0.125 1
Hf1 0.000 0.000 0.500 1

=====

# 16
# PBE TcP2HCl, relaxed
# offset from the most stable computed form: 154 meV/atom
# E_tot: -4.434 eV/atom
# Fermi-level density of states: 0.56 states/eV per atom
data_TcP2HCl
_cell_length_a 3.705
_cell_length_b 3.705
_cell_length_c 4.761
_cell_angle_alpha 90.00
_cell_angle_beta 90.00
_cell_angle_gamma 90.00
_symmetry_space_group_name_H-M 'P 4/m m m'
_symmetry_Int_Tables_number 123
_symmetry_space_group_name_Hall '-P 4 2'
loop_
_atom_site_label
_atom_site_fract_x
_atom_site_fract_y
_atom_site_fract_z
_atom_site_occupancy
Tc1 0.000 0.000 0.000 1
P1 0.000 0.500 0.500 1
H1 0.500 0.500 0.500 1
Cl1 0.500 0.500 0.000 1

=====

# 17
# PBE NdThC2, relaxed
# offset from the most stable computed form: 45 meV/atom
# E_tot: -7.638 eV/atom
# formation energy: 21 meV/atom
# Fermi-level density of states: 0.90 states/eV per atom
data_NdThC2
_cell_length_a 3.916
_cell_length_b 15.797
_cell_length_c 6.273
_cell_angle_alpha 90.00
_cell_angle_beta 90.00
_cell_angle_gamma 90.00
_symmetry_space_group_name_H-M 'C m c m'
_symmetry_Int_Tables_number 63
_symmetry_space_group_name_Hall '-C 2c 2'
loop_
_atom_site_label
_atom_site_fract_x
_atom_site_fract_y
_atom_site_fract_z
_atom_site_occupancy
Nd1 0.000 0.179 0.250 1
Th1 0.000 0.430 0.250 1
C1 0.000 0.416 0.641 1

=====

# 18
# PBE La6TlRh2, relaxed
# E_tot: -5.634 eV/atom
# formation energy: -453 meV/atom
# Fermi-level density of states: 1.00 states/eV per atom
data_La6TlRh2
_cell_length_a 11.115
_cell_length_b 5.137
_cell_length_c 9.444
_cell_angle_alpha 90.00
_cell_angle_beta 95.97
_cell_angle_gamma 90.00
_symmetry_space_group_name_H-M 'C 1 2/m 1'
_symmetry_Int_Tables_number 12
_symmetry_space_group_name_Hall '-C 2y'
loop_
_atom_site_label
_atom_site_fract_x
_atom_site_fract_y
_atom_site_fract_z
_atom_site_occupancy
La1 0.084 0.000 0.359 1
La2 0.107 0.500 0.669 1
La3 0.197 0.500 0.110 1
Tl1 0.000 0.000 0.000 1
Rh1 0.242 0.500 0.386 1

=====

# 19
# PBE Tb5Te2Pd2, relaxed
# E_tot: -5.413 eV/atom
# Fermi-level density of states: 0.94 states/eV per atom
# formation energy (no corrections): -988 meV per atom
data_Tb5Te2Pd2
_cell_length_a 15.691
_cell_length_b 7.855
_cell_length_c 7.831
_cell_angle_alpha 90.00
_cell_angle_beta 90.00
_cell_angle_gamma 90.00
_symmetry_space_group_name_H-M 'C m c e'
_symmetry_Int_Tables_number 64
_symmetry_space_group_name_Hall '-C 2ac 2'
loop_
_atom_site_label
_atom_site_fract_x
_atom_site_fract_y
_atom_site_fract_z
_atom_site_occupancy
Tb1 0.000 0.000 0.000 1
Tb2 0.123 0.160 0.341 1
Te1 0.206 0.000 0.000 1
Pd1 0.000 0.137 0.633 1

=====

# 20
# PBE Hf2InSe4, relaxed
# E_tot: -6.222 eV/atom
# Fermi-level density of states: 0.39 states/eV per atom
# formation energy (no corrections): -996 meV per atom
data_Hf2InSe4
_cell_length_a 3.878
_cell_length_b 13.003
_cell_length_c 13.571
_cell_angle_alpha 90.00
_cell_angle_beta 90.00
_cell_angle_gamma 90.00
_symmetry_space_group_name_H-M 'C m c m'
_symmetry_Int_Tables_number 63
_symmetry_space_group_name_Hall '-C 2c 2'
loop_
_atom_site_label
_atom_site_fract_x
_atom_site_fract_y
_atom_site_fract_z
_atom_site_occupancy
Hf1 0.000 0.135 0.062 1
In1 0.000 0.406 0.250 1
Se1 0.000 0.079 0.250 1
Se2 0.000 0.230 0.613 1
Se3 0.000 0.500 0.000 1

=====

# 21
# PBE MnPt2Br, relaxed
# offset from the most stable computed form: 107 meV/atom
# E_tot: -5.574 eV/atom
# Fermi-level density of states: 1.20 states/eV per atom
# formation energy (no corrections): 157 meV per atom
data_MnPt2Br
_cell_length_a 3.972
_cell_length_b 3.983
_cell_length_c 9.821
_cell_angle_alpha 90.00
_cell_angle_beta 90.00
_cell_angle_gamma 90.00
_symmetry_space_group_name_H-M 'C m m m'
_symmetry_Int_Tables_number 65
_symmetry_space_group_name_Hall '-C 2 2'
loop_
_atom_site_label
_atom_site_fract_x
_atom_site_fract_y
_atom_site_fract_z
_atom_site_occupancy
Mn1 0.000 0.000 0.000 1
Pt1 0.000 0.500 0.179 1
Br1 0.000 0.000 0.500 1

=====

# 22
# PBE La3PrSc2, relaxed
# E_tot: -5.131 eV/atom
# formation energy: 240 meV/atom
# Fermi-level density of states: 1.83 states/eV per atom
data_La3PrSc2
_cell_length_a 14.662
_cell_length_b 10.065
_cell_length_c 5.526
_cell_angle_alpha 90.00
_cell_angle_beta 90.00
_cell_angle_gamma 90.00
_symmetry_space_group_name_H-M 'C m c m'
_symmetry_Int_Tables_number 63
_symmetry_space_group_name_Hall '-C 2c 2'
loop_
_atom_site_label
_atom_site_fract_x
_atom_site_fract_y
_atom_site_fract_z
_atom_site_occupancy
La1 0.000 0.106 0.250 1
La2 0.237 0.133 0.250 1
Pr1 0.000 0.267 0.750 1
Sc1 0.103 0.413 0.250 1

=====

# 23
# PBE NbSI3, relaxed
# offset from the most stable computed form: 994 meV/atom
# E_tot: -3.328 eV/atom
# Fermi-level density of states: 1.27 states/eV per atom
# formation energy (no corrections): 441 meV per atom
data_NbSI3
_cell_length_a 5.486
_cell_length_b 5.486
_cell_length_c 5.486
_cell_angle_alpha 90.00
_cell_angle_beta 90.00
_cell_angle_gamma 90.00
_symmetry_space_group_name_H-M 'P m -3 m'
_symmetry_Int_Tables_number 221
_symmetry_space_group_name_Hall '-P 4 2 3'
loop_
_atom_site_label
_atom_site_fract_x
_atom_site_fract_y
_atom_site_fract_z
_atom_site_occupancy
Nb1 0.000 0.000 0.000 1
S1 0.500 0.500 0.500 1
I1 0.000 0.000 0.500 1